DFT (GGA-PBE) results for a relaxed structure of Sb2RhCl.

Summary:
ΔE_f (raw) = -0.10 eV/atom

Lattice parameters (Å, degrees): 4.896 4.550 4.544 70.02 90.00 90.00
Positions (direct):
1 Cl 0.000 0.518 0.518
2 Sb 0.500 0.206 0.206
3 Rh 0.500 0.822 0.822
4 Sb 0.000 0.954 0.953

=====

DFT (GGA-PBE) results for a relaxed structure of KAsO3.

Summary:
ΔE_f (raw) = -1.09 eV/atom

Lattice parameters (Å, degrees): 3.790 3.790 3.790 90.00 90.00 90.00
Positions (direct):
1 O 0.000 0.000 0.500
2 As 0.000 0.000 0.000
3 O 0.000 0.500 0.000
4 K 0.500 0.500 0.500
5 O 0.500 0.000 0.000

=====

DFT (GGA-PBE) results for a relaxed structure of InIr2Cl.

Summary:
ΔE_f (raw) = 0.49 eV/atom
offset from the most stable computed form = 314 meV per atom

Lattice parameters (Å, degrees): 8.565 8.565 8.565 20.41 20.41 20.41
Positions (direct):
1 Ir 0.502 0.502 0.502
2 In 0.750 0.750 0.750
3 Ir 0.998 0.998 0.998
4 Cl 0.250 0.250 0.250

=====

DFT (GGA-PBE) results for a relaxed structure of Li2LaAg2Au.

Summary:
energy of formation from the pure elements = -130 kJ/mol of formula units

Lattice parameters (Å, degrees): 4.785 4.785 5.801 90.00 90.00 90.00
Positions (direct):
1 Au 0.000 0.000 0.000
2 Ag 0.500 0.500 0.740
3 La 0.000 0.000 0.500
4 Li 0.000 0.500 0.000
5 Li 0.500 0.000 0.000
6 Ag 0.500 0.500 0.260

=====

The records above yield mass density values of 6.665; 4.943; 13.273; 7.071 g cm⁻³, respectively.
The records above yield total magnetic moment values of 0.00; 0.00; 0.00; 0.00 μB/f.u., respectively.